A plane-wave DFT calculation with GGA-PBE was carried out for a geometry-optimized RbLiCd2Hg structure. Values from VASP.

Geometry as Quantum ESPRESSO input:
```
&SYSTEM
  ibrav = 0, nat = 5, ntyp = 4
/
ATOMIC_SPECIES
Li 6.94 Li.upf
Hg 200.59 Hg.upf
Rb 85.47 Rb.upf
Cd 112.41 Cd.upf
CELL_PARAMETERS angstrom
5.3773 0.0000 0.0000
0.0000 5.3773 0.0000
0.0000 0.0000 5.3623
ATOMIC_POSITIONS angstrom
Li 0.0000 0.0000 0.0000
Hg 0.0000 0.0000 2.6812
Rb 2.6887 2.6887 2.6812
Cd 0.0000 2.6887 0.0000
Cd 2.6887 0.0000 0.0000
```

Properties
excess energy over the best structure of this formula in the dataset = 0 meV per atom
Fermi-level density of states = 2.9 states/eV/f.u.
volume = 31.01 A^3/atom
formation energy from the elements = -0.049 eV/atom
final energy = -1.05 eV per atom